No. 1
The following is a DFT calculation (PBE) of Sb2RuRh after structural relaxation.

Calculated values
Raw total energy, eV per cell: -25.52
Symmetry: Pmm2
Distance to the lowest polymorph of the same formula, eV per formula unit: 0.000

Cell lengths 3.4349, 3.9243, 5.4638 Å; angles 90.00, 90.00, 90.00 degrees
With the nearest neighbours (Å) after each atom.
Atoms (fractional coordinates):
Sb: 0.0000 0.0000 0.0000  2 Rh 2.70-2.76, 4 Ru 2.72
Sb: 0.5000 0.5000 0.3685  2 Ru 2.68-2.79, 4 Rh 2.71
Ru: 0.5000 0.5000 0.8581  6 Sb 2.68-2.79
Rh: 0.0000 0.0000 0.5054  6 Sb 2.70-2.76

No. 2
The following is a DFT calculation (PBE) of LiTl8In6 after structural relaxation.

Calculated values
Energy of formation from the pure elements, eV/atom: 0.00
Raw total energy, eV per cell: -37.21
Symmetry: R-3

Cell lengths 7.9361, 7.9361, 7.9361 Å; angles 71.51, 71.51, 71.51 degrees
With the nearest neighbours (Å) after each atom.
Atoms (fractional coordinates):
Li: 0.0000 0.0000 0.0000  6 In 3.08
Tl: 0.0686 0.6734 0.7496  4 In 3.28-3.60, 4 Tl 3.37-3.46, 1 Li 3.56
Tl: 0.2504 0.9314 0.3266  4 In 3.28-3.60, 4 Tl 3.37-3.46, 1 Li 3.56
Tl: 0.3266 0.2504 0.9314  4 In 3.28-3.60, 4 Tl 3.37-3.46, 1 Li 3.56
Tl: 0.4088 0.4088 0.4088  1 Tl 3.21, 6 In 3.27-3.48
Tl: 0.5912 0.5912 0.5912  1 Tl 3.21, 6 In 3.27-3.48
Tl: 0.6734 0.7496 0.0686  4 In 3.28-3.60, 4 Tl 3.37-3.46, 1 Li 3.56
Tl: 0.7496 0.0686 0.6734  4 In 3.28-3.60, 4 Tl 3.37-3.46, 1 Li 3.56
Tl: 0.9314 0.3266 0.2504  4 In 3.28-3.60, 4 Tl 3.37-3.46, 1 Li 3.56
In: 0.0170 0.3186 0.6544  1 Li 3.08, 3 In 3.09-3.13, 3 Tl 3.27-3.31
In: 0.3186 0.6544 0.0170  1 Li 3.08, 3 In 3.09-3.13, 3 Tl 3.27-3.31
In: 0.3456 0.9830 0.6814  1 Li 3.08, 3 In 3.09-3.13, 3 Tl 3.27-3.31
In: 0.6544 0.0170 0.3186  1 Li 3.08, 3 In 3.09-3.13, 3 Tl 3.27-3.31
In: 0.6814 0.3456 0.9830  1 Li 3.08, 3 In 3.09-3.13, 3 Tl 3.27-3.31
In: 0.9830 0.6814 0.3456  1 Li 3.08, 3 In 3.09-3.13, 3 Tl 3.27-3.31

No. 3
The following is a DFT calculation (PBE) of K2Tl2CdIn after structural relaxation.

Calculated values
Energy of formation from the pure elements, eV/atom: -0.09
Raw total energy, eV per cell: -22.28
Symmetry: Ibam

Cell lengths 9.8829, 9.8829, 9.8829 Å; angles 138.46, 60.64, 137.90 degrees
With the nearest neighbours (Å) after each atom.
Atoms (fractional coordinates):
K: 0.1687 0.2488 0.4175  5 Tl 3.64-3.77, 2 In 3.81, 2 Cd 3.81
K: 0.3313 0.7488 0.0801  5 Tl 3.64-3.77, 2 In 3.81, 2 Cd 3.81
K: 0.6687 0.2512 0.9199  5 Tl 3.64-3.77, 2 In 3.81, 2 Cd 3.81
K: 0.8313 0.7512 0.5825  5 Tl 3.64-3.77, 2 In 3.81, 2 Cd 3.81
Tl: 0.1102 0.7478 0.8580  2 Cd 3.12, 2 In 3.13
Tl: 0.3898 0.2478 0.6376  2 Cd 3.12, 2 In 3.13
Tl: 0.6102 0.7522 0.3624  2 Cd 3.12, 2 In 3.13
Tl: 0.8898 0.2522 0.1420  2 Cd 3.12, 2 In 3.13
Cd: 0.2500 0.7500 0.5000  4 Tl 3.12
Cd: 0.7500 0.2500 0.5000  4 Tl 3.12
In: 0.2500 0.2500 0.0000  4 Tl 3.13, 2 Cd 3.51
In: 0.7500 0.7500 0.0000  4 Tl 3.13, 2 Cd 3.51

No. 4
The following is a DFT calculation (PBE) of AlCo2P after structural relaxation.

Calculated values
Energy of formation from the pure elements, eV/atom: -0.36
Raw total energy, eV per cell: -24.79
Symmetry: P4/mmm
Distance to the lowest polymorph of the same formula, eV per formula unit: 0.187

Cell lengths 3.7415, 3.7415, 3.1532 Å; angles 90.00, 90.00, 90.00 degrees
With the nearest neighbours (Å) after each atom.
Atoms (fractional coordinates):
Al: 0.0000 0.0000 0.0000  8 Co 2.45, 4 P 2.65
Co: 0.0000 0.5000 0.5000  4 Al 2.45, 4 P 2.45, 4 Co 2.65
Co: 0.5000 0.0000 0.5000  4 Al 2.45, 4 P 2.45, 4 Co 2.65
P: 0.5000 0.5000 0.0000  8 Co 2.45, 4 Al 2.65

No. 5
The following is a DFT calculation (PBE) of AcMg3Pt after structural relaxation.

Calculated values
Energy of formation from the pure elements, eV/atom: -0.50
Raw total energy, eV per cell: -34.89
Symmetry: P2_1/m
Distance to the lowest polymorph of the same formula, eV per formula unit: 0.000

Cell lengths 5.8522, 6.1475, 7.5564 Å; angles 90.00, 112.37, 90.00 degrees
With the nearest neighbours (Å) after each atom.
Atoms (fractional coordinates):
Ac: 0.0838 0.2500 0.3756  4 Pt 3.06-3.35, 2 Mg 3.42
Ac: 0.9162 0.7500 0.6244  4 Pt 3.06-3.35, 2 Mg 3.42
Mg: 0.0496 0.2500 0.8838  1 Pt 2.73
Mg: 0.4731 0.5065 0.2010  2 Pt 2.81-2.89, 2 Mg 2.99-3.14
Mg: 0.4731 0.9935 0.2010  2 Pt 2.81-2.89, 2 Mg 2.99-3.14
Mg: 0.5269 0.0065 0.7990  2 Pt 2.81-2.89, 2 Mg 2.99-3.14
Mg: 0.5269 0.4935 0.7990  2 Pt 2.81-2.89, 2 Mg 2.99-3.14
Mg: 0.9504 0.7500 0.1162  1 Pt 2.73
Pt: 0.3272 0.7500 0.4673  5 Mg 2.73-2.89
Pt: 0.6728 0.2500 0.5327  5 Mg 2.73-2.89

No. 6
The following is a DFT calculation (PBE) of CaTlRhAu after structural relaxation.

Calculated values
Energy of formation from the pure elements, eV/atom: -0.26
Raw total energy, eV per cell: -16.02
Symmetry: F-43m

Cell lengths 4.8758, 4.8758, 4.8758 Å; angles 60.00, 60.00, 60.00 degrees
With the nearest neighbours (Å) after each atom.
Atoms (fractional coordinates):
Ca: 0.0000 0.0000 0.0000  4 Rh 2.99, 4 Au 2.99
Tl: 0.5000 0.5000 0.5000  4 Rh 2.99, 4 Au 2.99
Rh: 0.7500 0.7500 0.7500  4 Ca 2.99, 4 Tl 2.99
Au: 0.2500 0.2500 0.2500  4 Tl 2.99, 4 Ca 2.99

No. 7
The following is a DFT calculation (PBE) of Pr2PI3 after structural relaxation.

Calculated values
Raw total energy, eV per cell: -55.75
Symmetry: C2/m

Cell lengths 9.5034, 9.5034, 12.7329 Å; angles 119.04, 119.04, 28.39 degrees
With the nearest neighbours (Å) after each atom.
Atoms (fractional coordinates):
Pr: 0.0935 0.0935 0.4491  2 P 2.80
Pr: 0.3576 0.3576 0.1981  2 P 2.82
Pr: 0.6424 0.6424 0.8019  2 P 2.82
Pr: 0.9065 0.9065 0.5509  2 P 2.80
P: 0.0813 0.0813 0.6599  4 Pr 2.80-2.82
P: 0.9187 0.9187 0.3401  4 Pr 2.80-2.82
I: 0.1572 0.1572 0.0095  3 Pr 3.24-3.43
I: 0.2700 0.2700 0.3845  3 Pr 3.30-3.48
I: 0.4493 0.4493 0.7545  3 Pr 3.27-3.30
I: 0.5507 0.5507 0.2455  3 Pr 3.27-3.30
I: 0.7300 0.7300 0.6155  3 Pr 3.30-3.48
I: 0.8428 0.8428 0.9905  3 Pr 3.24-3.43

No. 8
The following is a DFT calculation (PBE) of CaNi4Ge2 after structural relaxation.

Calculated values
Energy of formation from the pure elements, eV/atom: -0.42
Raw total energy, eV per cell: -74.60
Symmetry: P4_2/mnm

Cell lengths 7.3086, 7.3086, 3.7669 Å; angles 90.00, 90.00, 90.00 degrees
With the nearest neighbours (Å) after each atom.
Atoms (fractional coordinates):
Ca: 0.0000 0.0000 0.0000  6 Ge 2.87-2.97
Ca: 0.5000 0.5000 0.5000  6 Ge 2.87-2.97
Ni: 0.0854 0.3455 0.5000  3 Ge 2.40-2.42, 6 Ni 2.58-2.69
Ni: 0.1545 0.5854 0.0000  3 Ge 2.40-2.42, 6 Ni 2.58-2.69
Ni: 0.3455 0.0854 0.5000  3 Ge 2.40-2.42, 6 Ni 2.58-2.69
Ni: 0.4146 0.8455 0.0000  3 Ge 2.40-2.42, 6 Ni 2.58-2.69
Ni: 0.5854 0.1545 0.0000  3 Ge 2.40-2.42, 6 Ni 2.58-2.69
Ni: 0.6545 0.9146 0.5000  3 Ge 2.40-2.42, 6 Ni 2.58-2.69
Ni: 0.8455 0.4146 0.0000  3 Ge 2.40-2.42, 6 Ni 2.58-2.69
Ni: 0.9146 0.6545 0.5000  3 Ge 2.40-2.42, 6 Ni 2.58-2.69
Ge: 0.2227 0.7773 0.5000  6 Ni 2.40-2.42
Ge: 0.2773 0.2773 0.0000  6 Ni 2.40-2.42
Ge: 0.7227 0.7227 0.0000  6 Ni 2.40-2.42
Ge: 0.7773 0.2227 0.5000  6 Ni 2.40-2.42

No. 9
The following is a DFT calculation (PBE) of CoSb2RhBr after structural relaxation.

Calculated values
Raw total energy, eV per cell: -17.05
Symmetry: P4/mmm

Cell lengths 5.4743, 5.4743, 4.5520 Å; angles 90.00, 90.00, 90.00 degrees
With the nearest neighbours (Å) after each atom.
Atoms (fractional coordinates):
Co: 0.0000 0.0000 0.0000  8 Sb 3.56, 4 Rh 3.87
Sb: 0.0000 0.5000 0.5000  2 Br 2.74
Sb: 0.5000 0.0000 0.5000  2 Br 2.74
Rh: 0.5000 0.5000 0.0000  2 Br 2.28
Br: 0.5000 0.5000 0.5000  2 Rh 2.28

No. 10
The following is a DFT calculation (PBE) of Ca2Pm15Ho2 after structural relaxation.

Calculated values
Energy of formation from the pure elements, eV/atom: 0.23
Raw total energy, eV per cell: -79.98
Symmetry: R-3m

Cell lengths 8.9339, 8.9339, 8.9339 Å; angles 81.31, 81.31, 81.31 degrees
With the nearest neighbours (Å) after each atom.
Atoms (fractional coordinates):
Ca: 0.1686 0.1686 0.1686  15 Pm 4.13-4.44, 1 Ho 4.17
Ca: 0.8314 0.8314 0.8314  15 Pm 4.13-4.44, 1 Ho 4.17
Pm: 0.0000 0.5000 0.5000  8 Pm 3.43, 2 Ho 3.59
Pm: 0.1370 0.1370 0.6474  6 Pm 3.42-3.45
Pm: 0.1370 0.6474 0.1370  6 Pm 3.42-3.45
Pm: 0.2059 0.5000 0.7941  6 Pm 3.42-3.45, 2 Ho 3.82
Pm: 0.2059 0.7941 0.5000  6 Pm 3.42-3.45, 2 Ho 3.82
Pm: 0.3526 0.8630 0.8630  6 Pm 3.42-3.45
Pm: 0.5000 0.0000 0.5000  8 Pm 3.43, 2 Ho 3.59
Pm: 0.5000 0.2059 0.7941  6 Pm 3.42-3.45, 2 Ho 3.82
Pm: 0.5000 0.5000 0.0000  8 Pm 3.43, 2 Ho 3.59
Pm: 0.5000 0.7941 0.2059  6 Pm 3.42-3.45, 2 Ho 3.82
Pm: 0.6474 0.1370 0.1370  6 Pm 3.42-3.45
Pm: 0.7941 0.2059 0.5000  6 Pm 3.42-3.45, 2 Ho 3.82
Pm: 0.7941 0.5000 0.2059  6 Pm 3.42-3.45, 2 Ho 3.82
Pm: 0.8630 0.3526 0.8630  6 Pm 3.42-3.45
Pm: 0.8630 0.8630 0.3526  6 Pm 3.42-3.45
Ho: 0.4046 0.4046 0.4046  1 Ho 3.37, 3 Pm 3.59
Ho: 0.5954 0.5954 0.5954  1 Ho 3.37, 3 Pm 3.59

No. 11
The following is a DFT calculation (PBE) of ZrPd3Cl after structural relaxation.

Calculated values
Raw total energy, eV per cell: -24.14
Symmetry: Pm-3m
Distance to the lowest polymorph of the same formula, eV per formula unit: 0.000

Cell lengths 4.5782, 4.5782, 4.5782 Å; angles 90.00, 90.00, 90.00 degrees
With the nearest neighbours (Å) after each atom.
Atoms (fractional coordinates):
Zr: 0.0000 0.0000 0.0000  12 Pd 3.24
Pd: 0.0000 0.5000 0.5000  2 Cl 2.29
Pd: 0.5000 0.0000 0.5000  2 Cl 2.29
Pd: 0.5000 0.5000 0.0000  2 Cl 2.29
Cl: 0.5000 0.5000 0.5000  6 Pd 2.29

No. 12
The following is a DFT calculation (PBE) of Ta2HgOs after structural relaxation.

Calculated values
Energy of formation from the pure elements, eV/atom: 0.43
Raw total energy, eV per cell: -33.53
Symmetry: F-43m

Cell lengths 4.6320, 4.6320, 4.6320 Å; angles 60.00, 60.00, 60.00 degrees
With the nearest neighbours (Å) after each atom.
Atoms (fractional coordinates):
Ta: 0.0000 0.0000 0.0000  4 Hg 2.84, 4 Ta 2.84
Ta: 0.2500 0.2500 0.2500  4 Ta 2.84, 4 Os 2.84
Hg: 0.7500 0.7500 0.7500  4 Ta 2.84, 4 Os 2.84
Os: 0.5000 0.5000 0.5000  4 Hg 2.84, 4 Ta 2.84